Density functional theory data (PBE) for a relaxed structure of CeErTcAu.

Geometry as POSCAR:
```
CeErTcAu
1.0
0.0000 3.5248 3.5248
3.5248 0.0000 3.5248
3.5248 3.5248 0.0000
Ce Er Tc Au
1 1 1 1
Direct
0.0000 0.0000 0.0000 Ce
0.5000 0.5000 0.5000 Er
0.7500 0.7500 0.7500 Tc
0.2500 0.2500 0.2500 Au
```

Calculated values
The value obtained for the energy of formation is -1.3 eV/f.u. The total DFT energy (no corrections) comes out at -25.43 eV for the cell shown. Its symmetry is F-43m (216).

***

Density functional theory data (PBE) for a relaxed structure of ScMo2P.

Geometry as POSCAR:
```
ScMo2P
1.0
3.2754 0.0000 0.0000
0.0000 3.2754 0.0000
0.0000 0.0000 6.0063
Sc Mo P
1 2 1
Direct
0.0000 0.0000 0.0000 Sc
0.0000 0.0000 0.5272 Mo
0.5000 0.5000 0.2836 Mo
0.5000 0.5000 0.7331 P
```

Calculated values
The value obtained for the energy of formation is -1.2 eV/f.u. The total DFT energy (no corrections) comes out at -34.61 eV for the cell shown. Its symmetry is P4mm (99).

***

Density functional theory data (PBE) for a relaxed structure of ReSbP2.

Geometry as POSCAR:
```
ReSbP2
1.0
1.5313 -2.5463 0.0000
1.5313 2.5463 0.0000
0.0000 0.0000 9.2460
Re Sb P
1 1 2
Direct
0.0000 0.0000 0.0000 Re
0.5000 0.5000 0.7279 Sb
0.0000 0.0000 0.4335 P
0.5000 0.5000 0.1880 P
```

Calculated values
The calculation puts the formation energy without anion corrections at 0.672 eV per atom. The total DFT energy (no corrections) comes out at -24.70 eV for the cell shown. Its symmetry is Cmm2 (35).

***

- Which formula does entry 3 have?
  ReSbP2